This record from Alexandria via LeMat-Bulk describes crystalline SmTm2Zr3N6 at its relaxed geometry. The functional is PBE.

Results
For the formation energy from raw total energies, the calculation gives -1.720 eV/atom. The crystal system is monoclinic.

a = 5.7867 Å, b = 5.7867 Å, c = 5.8362 Å
α = 99.56°, β = 99.56°, γ = 119.92°
Last column: nearest neighbours and their distance in Å.
Sites, in units of the cell vectors:
Tm1 0.6669 0.3331 0.0000  6 N 2.40
N1 0.5687 0.9115 0.7344  3 Zr 2.27-2.35, 2 Tm 2.40, 1 Sm 2.46
N2 0.4313 0.0885 0.2656  3 Zr 2.27-2.35, 2 Tm 2.40, 1 Sm 2.46
N3 0.7462 0.7462 0.2664  3 Zr 2.28-2.35, 2 Tm 2.40, 1 Sm 2.47
Sm1 0.0000 0.0000 0.0000  6 N 2.46-2.47
N4 0.2538 0.2538 0.7336  3 Zr 2.28-2.35, 2 Tm 2.40, 1 Sm 2.47
N5 0.0885 0.4313 0.2656  3 Zr 2.27-2.35, 2 Tm 2.40, 1 Sm 2.46
Zr1 0.5000 0.5000 0.5000  6 N 2.28-2.34
Zr2 0.1680 0.8320 0.5000  6 N 2.27-2.35
Tm2 0.3331 0.6669 0.0000  6 N 2.40
Zr3 0.8320 0.1680 0.5000  6 N 2.27-2.35
N6 0.9115 0.5687 0.7344  3 Zr 2.27-2.35, 2 Tm 2.40, 1 Sm 2.46